1.
# HgW

A relaxed structure of HgW (PBE, Alexandria).

E_form ... 909 meV/atom
VASP energy ... -0.420 Ry/atom
Distance to the lowest polymorph of the same formula ... 39.0 kJ/mol of atoms

a = 4.7719 Å, b = 2.8632 Å, c = 16.0845 Å
α = 90.00°, β = 90.00°, γ = 90.00°
Space group Amm2 (No. 38)
Symmetry-distinct sites (fractional):
1 Hg 0.0000 0.0000 0.0000
2 Hg 0.0000 0.0000 0.3290
3 Hg 0.5000 0.0000 0.2245
4 W 0.0000 0.0000 0.6565
5 W 0.5000 0.0000 0.5622
6 W 0.5000 0.0000 0.9012


2.
# TbNd3Dy6

A relaxed structure of TbNd3Dy6 (PBE, Alexandria).

E_form ... 148 meV/atom
VASP energy ... -0.331 Ry/atom
Distance to the lowest polymorph of the same formula ... 0.0 kJ/mol of atoms

a = 10.9701 Å, b = 18.9412 Å, c = 6.3639 Å
α = 90.00°, β = 90.00°, γ = 90.00°
Space group Cmc2_1 (No. 36)
Symmetry-distinct sites (fractional):
1 Tb 0.0000 0.1947 0.0000
2 Nd 0.0000 0.3876 0.0586
3 Nd 0.1761 0.1136 0.6671
4 Dy 0.0000 0.0388 0.2603
5 Dy 0.0000 0.2721 0.4803
6 Dy 0.1675 0.4548 0.5815
7 Dy 0.2392 0.2904 0.7587


3.
# BP2C

A relaxed structure of BP2C (PBE, Alexandria).

E_form ... 579 meV/atom
VASP energy ... -0.448 Ry/atom
Distance to the lowest polymorph of the same formula ... 38.3 kJ/mol of atoms

a = 4.4184 Å, b = 2.7529 Å, c = 5.2522 Å
α = 90.00°, β = 95.84°, γ = 90.00°
Space group Pm (No. 6)
Symmetry-distinct sites (fractional):
1 B 0.0000 0.0000 0.0000
2 P 0.3228 0.0000 0.7868
3 P 0.7956 0.5000 0.2430
4 C 0.6656 0.0000 0.0081


Repeat the third record exactly.
# BP2C

A relaxed structure of BP2C (PBE, Alexandria).

E_form ... 579 meV/atom
VASP energy ... -0.448 Ry/atom
Distance to the lowest polymorph of the same formula ... 38.3 kJ/mol of atoms

a = 4.4184 Å, b = 2.7529 Å, c = 5.2522 Å
α = 90.00°, β = 95.84°, γ = 90.00°
Space group Pm (No. 6)
Symmetry-distinct sites (fractional):
1 B 0.0000 0.0000 0.0000
2 P 0.3228 0.0000 0.7868
3 P 0.7956 0.5000 0.2430
4 C 0.6656 0.0000 0.0081


The highest distance to the lowest polymorph of the same formula belongs to which entry? HgW


Look up the distance to the lowest polymorph of the same formula of the second one. 0.0 kJ/mol of atoms